CaHfTl2: relaxed, PBE.

Cell: 5.2418 5.2418 5.2418 Å, 60.00 60.00 60.00°
With the nearest neighbours (Å) after each atom.
Fractional positions:
Ca 0.0000 0.0000 0.0000  8 Tl 3.21
Hf 0.5000 0.5000 0.5000  8 Tl 3.21
Tl 0.2500 0.2500 0.2500  4 Hf 3.21, 4 Ca 3.21
Tl 0.7500 0.7500 0.7500  4 Ca 3.21, 4 Hf 3.21

The energy above the most stable polymorph in this dataset comes out at 14.3 kJ/mol of atoms. Its density of states at the Fermi level is 3.6 states/eV/cell. Its total energy is -4.123 eV per atom. The calculation puts the size of the total moment at 0.074 μB per atom. Its calculated volume is 102 Å³ per cell. The formation energy is 49 meV/atom. The space group is Fm-3m.